1.
NaP2AuO: optimized geometry, PBE-GGA.

Results
Relative energy among the computed polymorphs (meV per atom): 0
M_tot (Bohr magnetons per cell): 1.20
Symmetry: P4/mmm (123)

Cell lengths 4.9057, 4.9057, 4.2462 Å; angles 90.00, 90.00, 90.00 degrees
Element x y z (fractional)
P  0.0000  0.5000  0.0000
P  0.5000  0.0000  0.0000
Au  0.0000  0.0000  0.0000
O  0.0000  0.0000  0.5000
Na  0.5000  0.5000  0.5000



2.
ScAl2Ag: optimized geometry, PBE-GGA.

Results
Formation energy from the elements (meV per atom): -198
M_tot (Bohr magnetons per cell): 0.00
Symmetry: Cm (8)

Cell lengths 5.0212, 5.0212, 4.9909 Å; angles 77.55, 77.55, 37.17 degrees
Element x y z (fractional)
Sc  0.5000  0.5000  0.4988
Al  0.0006  0.0006  0.9948
Al  0.7423  0.7423  0.7742
Ag  0.2571  0.2571  0.2322



3.
Be2H6Br: optimized geometry, PBE-GGA.

Results
M_tot (Bohr magnetons per cell): 0.00
Total energy (eV/f.u.): -19.08
Symmetry: Fm-3m (225)

Cell lengths 4.5725, 4.5722, 4.5724 Å; angles 60.00, 60.00, 60.00 degrees
Element x y z (fractional)
Be  0.7500  0.7500  0.7500
Be  0.2500  0.2500  0.2500
H  0.3559  0.6441  0.6441
H  0.6441  0.6441  0.3559
H  0.6441  0.3559  0.6441
H  0.6441  0.3559  0.3559
H  0.3559  0.3559  0.6441
H  0.3559  0.6441  0.3559
Br  0.0000  0.0000  0.0000



4.
Ta2NbTc2: optimized geometry, PBE-GGA.

Results
Formation energy from the elements (meV per atom): 16
M_tot (Bohr magnetons per cell): 0.00
Symmetry: Cmmm (65)

Cell lengths 3.1366, 3.1216, 9.0214 Å; angles 80.04, 90.00, 90.00 degrees
Element x y z (fractional)
Ta  0.0000  0.1817  0.6366
Ta  0.0000  0.8183  0.3634
Nb  0.0000  0.0000  0.0000
Tc  0.5000  0.4096  0.1809
Tc  0.5000  0.5904  0.8191



5.
Na2Hg2TeH2: optimized geometry, PBE-GGA.

Results
M_tot (Bohr magnetons per cell): 0.00
Total energy (eV/f.u.): -14.25
Symmetry: C2/m (12)

Cell lengths 5.0369, 5.2095, 7.7525 Å; angles 102.18, 90.00, 118.91 degrees
Element x y z (fractional)
Na  0.7074  0.4147  0.1483
Na  0.2926  0.5853  0.8517
Hg  0.1208  0.2416  0.4324
Hg  0.8792  0.7584  0.5676
Te  0.0000  0.0000  0.0000
H  0.6980  0.3960  0.6013
H  0.3020  0.6040  0.3987



6.
PuPa2Fe: optimized geometry, PBE-GGA.

Results
Relative energy among the computed polymorphs (meV per atom): 3
Formation energy from the elements (meV per atom): 47
M_tot (Bohr magnetons per cell): 5.29
Symmetry: R-3m (166)

Cell lengths 3.5084, 3.5084, 8.6429 Å; angles 78.29, 78.29, 60.00 degrees
Element x y z (fractional)
Pa  0.2684  0.2684  0.1949
Pa  0.7316  0.7316  0.8051
Fe  0.0000  0.0000  0.0000
Pu  0.5000  0.5000  0.5000



7.
CaCdBi: optimized geometry, PBE-GGA.

Results
Relative energy among the computed polymorphs (meV per atom): 0
Formation energy from the elements (meV per atom): -500
M_tot (Bohr magnetons per cell): 0.00
Symmetry: P2_1/m (11)

Cell lengths 4.6145, 8.6118, 13.7536 Å; angles 91.09, 90.00, 90.00 degrees
Element x y z (fractional)
Ca  0.7500  0.5743  0.3717
Ca  0.2500  0.9185  0.7104
Ca  0.7500  0.0815  0.2896
Ca  0.7500  0.6816  0.0779
Ca  0.2500  0.4257  0.6283
Ca  0.2500  0.3184  0.9221
Cd  0.2500  0.0105  0.0684
Cd  0.2500  0.8981  0.4680
Cd  0.7500  0.5592  0.7921
Cd  0.7500  0.1019  0.5320
Cd  0.2500  0.4408  0.2079
Cd  0.7500  0.9895  0.9316
Bi  0.2500  0.7002  0.9011
Bi  0.7500  0.1983  0.7508
Bi  0.7500  0.7052  0.5954
Bi  0.7500  0.2998  0.0989
Bi  0.2500  0.2948  0.4046
Bi  0.2500  0.8017  0.2492



8.
TbTh2Ti: optimized geometry, PBE-GGA.

Results
Relative energy among the computed polymorphs (meV per atom): 175
Formation energy from the elements (meV per atom): 310
M_tot (Bohr magnetons per cell): 0.00
Symmetry: R3m (160)

Cell lengths 5.2437, 5.2437, 5.7029 Å; angles 62.63, 62.63, 60.00 degrees
Element x y z (fractional)
Tb  0.4799  0.4799  0.5604
Th  0.0108  0.0108  0.9676
Th  0.2339  0.2339  0.2984
Ti  0.7755  0.7755  0.6736



9.
Ba3LaSb2O9: optimized geometry, PBE-GGA.

Results
M_tot (Bohr magnetons per cell): 0.00
Total energy (eV/f.u.): -99.24
Symmetry: P-3m1 (164)

Cell lengths 6.1385, 6.1385, 7.5531 Å; angles 90.00, 90.00, 120.00 degrees
Element x y z (fractional)
Ba  0.3333  0.6667  0.6837
Ba  0.0000  0.0000  0.0000
Ba  0.6667  0.3333  0.3163
La  0.0000  0.0000  0.5000
Sb  0.3333  0.6667  0.1635
Sb  0.6667  0.3333  0.8365
O  0.8226  0.1774  0.6847
O  0.8226  0.6451  0.6847
O  0.3549  0.1774  0.6847
O  0.6451  0.8226  0.3153
O  0.1774  0.3549  0.3153
O  0.1774  0.8226  0.3153
O  0.5000  0.0000  0.0000
O  0.0000  0.5000  0.0000
O  0.5000  0.5000  0.0000



10.
Ac4Al3Sn: optimized geometry, PBE-GGA.

Results
Formation energy from the elements (meV per atom): -419
M_tot (Bohr magnetons per cell): 0.00
Symmetry: Pmm2 (25)

Cell lengths 4.8854, 4.4519, 12.2480 Å; angles 90.00, 90.00, 90.00 degrees
Element x y z (fractional)
Ac  0.5000  0.5000  0.3638
Ac  0.0000  0.5000  0.8520
Ac  0.0000  0.0000  0.1451
Ac  0.5000  0.0000  0.6415
Al  0.0000  0.5000  0.5633
Al  0.0000  0.0000  0.4363
Al  0.5000  0.0000  0.9278
Sn  0.5000  0.5000  0.0702



11.
ScFe2BPb: optimized geometry, PBE-GGA.

Results
Formation energy from the elements (meV per atom): 1463
M_tot (Bohr magnetons per cell): 4.42
Symmetry: P4/mmm (123)

Cell lengths 4.6587, 4.4801, 4.6587 Å; angles 90.00, 90.00, 90.00 degrees
Element x y z (fractional)
Pb  0.5000  0.5000  0.5000
Sc  0.0000  0.0000  0.0000
B  0.0000  0.5000  0.0000
Fe  0.0000  0.0000  0.5000
Fe  0.5000  0.0000  0.0000



Question: What is the formula in the seventh record?
Answer: CaCdBi